Entry 1:
## Ho2Tm3Sc5 (PBE-GGA)

Data for a relaxed structure of Ho2Tm3Sc5.

## Properties
DFT formation energy: 2.18 eV/f.u.
Final energy: -5.20 eV/atom

Lattice parameters (Å, degrees): 9.237 9.145 10.739 127.61 127.79 64.60
Atoms (fractional coordinates):
Sc1 0.894 0.638 0.739
Sc2 0.519 0.269 0.538
Sc3 0.655 0.899 0.261
Sc4 0.974 0.224 0.448
Sc5 0.268 0.518 0.036
Sc6 0.106 0.362 0.261
Sc7 0.026 0.776 0.552
Sc8 0.345 0.101 0.739
Sc9 0.732 0.482 0.964
Sc10 0.481 0.731 0.462
Ho1 0.486 0.713 0.746
Ho2 0.514 0.287 0.254
Ho3 0.761 0.033 0.746
Ho4 0.239 0.967 0.254
Tm1 0.773 0.023 0.047
Tm2 0.719 0.498 0.262
Tm3 0.043 0.764 0.262
Tm4 0.227 0.977 0.953
Tm5 0.281 0.502 0.738
Tm6 0.957 0.236 0.738

---

Entry 2:
## KLiPb2 (PBE-GGA)

Data for a relaxed structure of KLiPb2.

## Properties
DFT formation energy: -0.89 eV/f.u.
Final energy: -2.83 eV/atom

Lattice parameters (Å, degrees): 4.886 6.674 8.179 90.00 90.00 111.47
Atoms (fractional coordinates):
Pb1 0.341 0.682 0.944
Pb2 0.659 0.318 0.444
Pb3 0.341 0.682 0.556
Pb4 0.659 0.318 0.056
K1 0.052 0.103 0.750
K2 0.948 0.897 0.250
Li1 0.776 0.552 0.750
Li2 0.224 0.448 0.250

---

Entry 3:
## TiCoHPt2 (PBE-GGA)

Data for a relaxed structure of TiCoHPt2.

## Properties
Final energy: -6.52 eV/atom

Lattice parameters (Å, degrees): 3.928 3.928 3.843 90.00 90.00 90.00
Atoms (fractional coordinates):
Pt1 0.500 0.000 0.000
Pt2 0.000 0.500 0.000
Ti1 0.500 0.500 0.500
Co1 0.000 0.000 0.500
H1 0.000 0.000 0.000

---

Entry 4:
## Hg2RuWC (PBE-GGA)

Data for a relaxed structure of Hg2RuWC.

## Properties
DFT formation energy: 6.80 eV/f.u.
Final energy: -5.05 eV/atom

Lattice parameters (Å, degrees): 4.526 4.526 4.091 90.00 90.00 90.00
Atoms (fractional coordinates):
Hg1 0.000 0.500 0.000
Hg2 0.500 0.000 0.000
W1 0.000 0.000 0.500
C1 0.000 0.000 0.000
Ru1 0.500 0.500 0.500

---

Entry 5:
## CsScSe2 (PBE-GGA)

Data for a relaxed structure of CsScSe2.

## Properties
Formation energy from raw total energies: -1.081 eV per atom
Final energy: -4.62 eV/atom

Lattice parameters (Å, degrees): 11.664 11.664 6.087 90.00 90.00 160.40
Atoms (fractional coordinates):
Cs1 0.056 0.944 0.250
Cs2 0.944 0.056 0.750
Se1 0.798 0.202 0.750
Se2 0.202 0.798 0.250
Se3 0.887 0.113 0.250
Se4 0.113 0.887 0.750
Sc1 0.690 0.310 0.750
Sc2 0.310 0.690 0.250

---

Entry 6:
## DyTmHg4 (PBE-GGA)

Data for a relaxed structure of DyTmHg4.

## Properties
DFT formation energy: -0.99 eV/f.u.
Final energy: -1.88 eV/atom

Lattice parameters (Å, degrees): 5.931 5.931 5.931 60.00 60.00 60.00
Atoms (fractional coordinates):
Tm1 0.250 0.250 0.250
Hg1 0.625 0.625 0.625
Hg2 0.625 0.625 0.125
Hg3 0.125 0.625 0.625
Hg4 0.625 0.125 0.625
Dy1 0.000 0.000 0.000

---

Entry 7:
## Nd2TmIn3Se6 (PBE-GGA)

Data for a relaxed structure of Nd2TmIn3Se6.

## Properties
Formation energy from raw total energies: -1.286 eV per atom
Final energy: -4.88 eV/atom

Lattice parameters (Å, degrees): 7.322 7.322 8.102 98.66 98.66 119.96
Atoms (fractional coordinates):
Se1 0.930 0.608 0.789
Se2 0.750 0.750 0.214
Se3 0.250 0.250 0.786
Se4 0.608 0.930 0.789
Se5 0.070 0.392 0.211
Se6 0.392 0.070 0.211
In1 0.169 0.831 0.500
In2 0.831 0.169 0.500
In3 0.500 0.500 0.500
Nd1 0.333 0.667 0.000
Nd2 0.667 0.333 0.000
Tm1 0.000 0.000 0.000

---

Entry 8:
## Hg2Ir (PBE-GGA)

Data for a relaxed structure of Hg2Ir.

## Properties
DFT formation energy: 1.11 eV/f.u.
Final energy: -2.79 eV/atom

Lattice parameters (Å, degrees): 2.916 2.916 16.845 90.00 90.00 120.00
Atoms (fractional coordinates):
Ir1 0.667 0.333 0.561
Ir2 0.333 0.667 0.439
Hg1 0.667 0.333 0.290
Hg2 0.333 0.667 0.710
Hg3 0.333 0.667 0.100
Hg4 0.667 0.333 0.900

---

Entry 9:
## Tm3ScGa12 (PBE-GGA)

Data for a relaxed structure of Tm3ScGa12.

## Properties
DFT formation energy: -8.11 eV/f.u.
Final energy: -4.01 eV/atom

Lattice parameters (Å, degrees): 4.207 4.207 16.887 90.00 90.00 90.00
Atoms (fractional coordinates):
Tm1 0.000 0.000 0.500
Tm2 0.000 0.000 0.246
Tm3 0.000 0.000 0.754
Ga1 0.500 0.500 0.751
Ga2 0.000 0.500 0.120
Ga3 0.000 0.500 0.880
Ga4 0.500 0.000 0.880
Ga5 0.500 0.500 0.249
Ga6 0.000 0.500 0.627
Ga7 0.500 0.000 0.373
Ga8 0.500 0.500 0.000
Ga9 0.500 0.500 0.500
Ga10 0.500 0.000 0.627
Ga11 0.500 0.000 0.120
Ga12 0.000 0.500 0.373
Sc1 0.000 0.000 0.000

---

Entry 10:
## Na4CdAu2 (PBE-GGA)

Data for a relaxed structure of Na4CdAu2.

## Properties
DFT formation energy: -1.30 eV/f.u.
Final energy: -2.01 eV/atom

Lattice parameters (Å, degrees): 4.885 4.885 10.223 76.18 76.18 60.00
Atoms (fractional coordinates):
Na1 0.700 0.700 0.900
Na2 0.111 0.111 0.667
Na3 0.889 0.889 0.333
Na4 0.300 0.300 0.100
Au1 0.404 0.404 0.787
Au2 0.596 0.596 0.213
Cd1 0.500 0.500 0.500

---

Entry 11:
## RbBCl6 (PBE-GGA)

Data for a relaxed structure of RbBCl6.

## Properties
Formation energy from raw total energies: -0.442 eV per atom
Final energy: -2.78 eV/atom

Lattice parameters (Å, degrees): 6.325 6.325 7.191 63.61 63.61 59.63
Atoms (fractional coordinates):
Cl1 0.913 0.913 0.801
Cl2 0.911 0.376 0.801
Cl3 0.089 0.624 0.199
Cl4 0.624 0.089 0.199
Cl5 0.376 0.911 0.801
Cl6 0.087 0.087 0.199
B1 0.000 0.000 0.000
Rb1 0.500 0.500 0.500

---

Entry 12:
## Ca2CuNiN (PBE-GGA)

Data for a relaxed structure of Ca2CuNiN.

## Properties
Formation energy from raw total energies: -0.417 eV per atom
Final energy: -4.86 eV/atom

Lattice parameters (Å, degrees): 4.970 4.970 3.592 90.00 90.00 90.00
Atoms (fractional coordinates):
Ca1 0.000 0.500 0.000
Ca2 0.500 0.000 0.000
Cu1 0.500 0.500 0.500
N1 0.000 0.000 0.000
Ni1 0.000 0.000 0.500